Entry 1:
A crystal of Be5Zn relaxed with PBEsol, computed with meta-GGA SCAN.

Cell: 4.0925 4.0925 3.6740 Å, 90.00 90.00 120.00°
With the nearest neighbours (Å) after each atom.
Element x y z (fractional)
Be1 0.0000 0.6415 0.0000  8 Be 2.26-2.28, 2 Zn 2.35
Be2 0.3333 0.6667 0.5000  9 Be 2.26-2.36, 3 Zn 2.36
Be3 0.3585 0.3585 0.0000  8 Be 2.26-2.28, 2 Zn 2.35
Be4 0.6415 0.0000 0.0000  8 Be 2.26-2.28, 2 Zn 2.35
Be5 0.6667 0.3333 0.5000  9 Be 2.26-2.36, 3 Zn 2.36
Zn1 0.0000 0.0000 0.5000  12 Be 2.35-2.36

Computed properties:
N(E_F), states/eV/atom: 0.055
Electronic total energy, eV/atom: -5.84

Entry 2:
A crystal of SbTe2Rh relaxed with PBEsol, computed with meta-GGA SCAN.

Cell: 5.0000 5.0000 5.0000 Å, 60.00 60.00 60.00°
With the nearest neighbours (Å) after each atom.
Element x y z (fractional)
Sb1 0.0000 0.0000 0.0000  4 Te 3.06, 4 Rh 3.06
Te1 0.5000 0.5000 0.5000  4 Te 3.06, 4 Rh 3.06
Te2 0.7500 0.7500 0.7500  4 Te 3.06, 4 Sb 3.06
Rh1 0.2500 0.2500 0.2500  4 Sb 3.06, 4 Te 3.06

Computed properties:
Formation energy from raw total energies, eV/atom: 0.4162
N(E_F), states/eV/atom: 0.638

Entry 3:
A crystal of AlReTe relaxed with PBEsol, computed with meta-GGA SCAN.

Cell: 4.6091 4.6091 2.8996 Å, 90.00 90.00 120.00°
With the nearest neighbours (Å) after each atom.
Element x y z (fractional)
Al1 0.0000 0.0000 0.0000  2 Al 2.90, 6 Te 3.03, 6 Re 3.03
Re1 0.3333 0.6667 0.5000  3 Te 2.66, 2 Re 2.90
Te1 0.6667 0.3333 0.5000  3 Re 2.66, 2 Te 2.90

Computed properties:
Formation energy from raw total energies, eV/atom: 0.6139
N(E_F), states/eV/atom: 0.677
Offset from the most stable computed form, kJ/mol of formula units: 62.2

Entry 4:
A crystal of RbBeC3 relaxed with PBEsol, computed with meta-GGA SCAN.

Cell: 3.9169 3.9169 3.9169 Å, 90.00 90.00 90.00°
With the nearest neighbours (Å) after each atom.
Element x y z (fractional)
Rb1 0.0000 0.0000 0.0000  12 C 2.77
Be1 0.5000 0.5000 0.5000  6 C 1.96
C1 0.0000 0.5000 0.5000  2 Be 1.96
C2 0.5000 0.0000 0.5000  2 Be 1.96
C3 0.5000 0.5000 0.0000  2 Be 1.96

Computed properties:
N(E_F), states/eV/atom: 0.569
Electronic total energy, eV/atom: -8.37

Entry 5:
A crystal of Cs3RuO relaxed with PBEsol, computed with meta-GGA SCAN.

Cell: 5.7494 5.7494 5.7494 Å, 90.00 90.00 90.00°
With the nearest neighbours (Å) after each atom.
Element x y z (fractional)
Cs1 0.0000 0.0000 0.5000  2 O 2.87
Cs2 0.0000 0.5000 0.0000  2 O 2.87
Cs3 0.5000 0.0000 0.0000  2 O 2.87
Ru1 0.5000 0.5000 0.5000  12 Cs 4.07
O1 0.0000 0.0000 0.0000  6 Cs 2.87

Computed properties:
Formation energy from raw total energies, eV/atom: 0.1982
N(E_F), states/eV/atom: 0.990

Entry 6:
A crystal of AsWC2N relaxed with PBEsol, computed with meta-GGA SCAN.

Cell: 3.8015 3.8015 3.6533 Å, 90.00 90.00 90.00°
With the nearest neighbours (Å) after each atom.
Element x y z (fractional)
As1 0.0000 0.0000 0.0000  2 N 1.83, 4 C 1.90
W1 0.5000 0.5000 0.5000  8 C 2.64, 4 N 2.69
C1 0.0000 0.5000 0.0000  2 As 1.90
C2 0.5000 0.0000 0.0000  2 As 1.90
N1 0.0000 0.0000 0.5000  2 As 1.83

Computed properties:
Formation energy from raw total energies, eV/atom: 2.5034
N(E_F), states/eV/atom: 0.563